A geometry-optimized K2LiAlF6 structure, computed with GGA-PBE.

For the formation energy from raw total energies, the calculation gives -3.218 eV per atom. As for the density of states at the Fermi level: 0.000 states/eV per cell.

a = 5.6836 Å, b = 5.6836 Å, c = 13.9102 Å
α = 90.00°, β = 90.00°, γ = 120.00°
Fractional positions:
K1 0.0000 0.0000 0.2488
K2 0.0000 0.0000 0.7512
K3 0.3333 0.6667 0.0889
K4 0.3333 0.6667 0.3950
K5 0.6667 0.3333 0.6050
K6 0.6667 0.3333 0.9111
Li1 0.0000 0.0000 0.0000
Li2 0.3333 0.6667 0.6422
Li3 0.6667 0.3333 0.3578
Al1 0.0000 0.0000 0.5000
Al2 0.3333 0.6667 0.8387
Al3 0.6667 0.3333 0.1613
F1 0.0371 0.5185 0.7582
F2 0.1534 0.3069 0.5761
F3 0.1534 0.8466 0.5761
F4 0.1794 0.3588 0.9132
F5 0.1794 0.8206 0.9132
F6 0.3069 0.1534 0.4239
F7 0.3588 0.1794 0.0868
F8 0.4815 0.5185 0.7582
F9 0.4815 0.9629 0.7582
F10 0.5185 0.0371 0.2418
F11 0.5185 0.4815 0.2418
F12 0.6412 0.8206 0.9132
F13 0.6931 0.8466 0.5761
F14 0.8206 0.1794 0.0868
F15 0.8206 0.6412 0.0868
F16 0.8466 0.1534 0.4239
F17 0.8466 0.6931 0.4239
F18 0.9629 0.4815 0.2418